Computed, not measured: a relaxed DyHo2Th3 crystal at the PBE-GGA level of DFT.

abc: 10.0358 3.5654 10.6560
angles: 90.00 90.58 90.00
Closest atoms and distances in Å follow each position.
Element x y z (fractional)
Dy: 0.1228 0.2500 0.2471  5 Th 3.51-3.60, 5 Ho 3.56-3.61, 2 Dy 3.57
Dy: 0.8772 0.7500 0.7529  5 Th 3.51-3.60, 5 Ho 3.56-3.61, 2 Dy 3.57
Ho: 0.1312 0.2500 0.5859  5 Th 3.47-3.55, 4 Ho 3.57-3.66, 3 Dy 3.60-3.61
Ho: 0.3741 0.7500 0.0829  6 Th 3.53-3.57, 2 Dy 3.56, 4 Ho 3.57-3.58
Ho: 0.6259 0.2500 0.9171  6 Th 3.53-3.57, 2 Dy 3.56, 4 Ho 3.57-3.58
Ho: 0.8688 0.7500 0.4141  5 Th 3.47-3.55, 4 Ho 3.57-3.66, 3 Dy 3.60-3.61
Th: 0.1252 0.2500 0.9166  3 Dy 3.51-3.52, 3 Ho 3.52-3.53, 6 Th 3.57
Th: 0.3744 0.7500 0.7490  5 Ho 3.47-3.56, 7 Th 3.53-3.57
Th: 0.3782 0.7500 0.4178  7 Th 3.48-3.57, 3 Ho 3.55-3.57, 2 Dy 3.60
Th: 0.6218 0.2500 0.5822  7 Th 3.48-3.57, 3 Ho 3.55-3.57, 2 Dy 3.60
Th: 0.6256 0.2500 0.2510  5 Ho 3.47-3.56, 7 Th 3.53-3.57
Th: 0.8748 0.7500 0.0834  3 Dy 3.51-3.52, 3 Ho 3.52-3.53, 6 Th 3.57

Properties
- raw total energy (eV per formula unit) = -35.8
- formation enthalpy at 0 K (eV/atom) = 0.030